## BaTa2CrAg (GGA-PBE)

Data for an optimized crystal structure of BaTa2CrAg.

Geometry as POSCAR:
```
BaTa2CrAg
1.0
5.1561 0.0000 0.0000
0.0000 5.1561 0.0000
0.0000 0.0000 5.4508
Ba Ta Cr Ag
1 2 1 1
Cartesian
0.0000 0.0000 0.0000
0.0000 2.5780 0.0000
2.5780 0.0000 0.0000
2.5780 2.5780 2.7254
0.0000 0.0000 2.7254
```

ΔE_f = 66.32 kcal/mol of atoms